Computed, not measured: an optimized crystal structure of KHgIr2 at the PBE level of DFT.

The structure in extended XYZ format:
```
4
Lattice="2.798 0.000 0.000 0.000 4.006 0.000 -0.157 0.000 8.167" Properties=species:S:1:pos:R:3 pbc="T T T"
K 0.000 0.000 0.000
Hg 1.399 2.003 2.635
Ir 1.249 2.003 5.625
Ir 2.656 0.000 4.839
```

Values from the calculation:
D(E_F) ... 3.70 states/eV/f.u.
Calculated formation energy ... 1.184 eV/f.u.
SG ... Pm, No. 6